No. 1
Density functional theory data (PBE) for a geometry-optimized Ho4Cu2Ag structure.

a b c (Å): 4.9341 4.9341 8.4559
angles (deg): 73.04 73.04 60.00
Sites, in units of the cell vectors:
Ho 0.3799 0.3799 0.8603
Ho 0.1288 0.1288 0.6136
Ho 0.6201 0.6201 0.1397
Ho 0.8712 0.8712 0.3864
Cu 0.7493 0.7493 0.7520
Cu 0.2507 0.2507 0.2480
Ag 0.0000 0.0000 0.0000

Symmetry ... No. 166
Energy relative to the lowest polymorph listed for this composition ... 0.015 eV per atom
E_form ... -0.138 eV/atom



No. 2
Density functional theory data (PBE) for a geometry-optimized CsTiAsSe2 structure.

a b c (Å): 5.1641 5.1641 5.0660
angles (deg): 90.00 90.00 90.00
Site moments in Bohr magnetons follow the coordinates.
Sites, in units of the cell vectors:
Se 0.5000 0.0000 0.0000  0.03
Se 0.0000 0.5000 0.0000  0.03
Cs 0.5000 0.5000 0.5000  0.01
Ti 0.0000 0.0000 0.0000  -0.02
As 0.0000 0.0000 0.5000  0.14

Symmetry ... No. 123
Energy relative to the lowest polymorph listed for this composition ... 0.000 eV per atom



No. 3
Density functional theory data (PBE) for a geometry-optimized CoSnI2 structure.

a b c (Å): 5.3494 5.3494 5.3494
angles (deg): 60.00 60.00 60.00
Site moments in Bohr magnetons follow the coordinates.
Sites, in units of the cell vectors:
Sn 0.5000 0.5000 0.5000  -0.09
Co 0.0000 0.0000 0.0000  1.78
I 0.2500 0.2500 0.2500  0.02
I 0.7500 0.7500 0.7500  0.02

Symmetry ... No. 225
Energy relative to the lowest polymorph listed for this composition ... 0.460 eV per atom



No. 4
Density functional theory data (PBE) for a geometry-optimized SmDy2Th3P6 structure.

a b c (Å): 7.1053 7.1053 7.0569
angles (deg): 99.68 99.68 119.92
Sites, in units of the cell vectors:
Th 0.8340 0.1660 0.5000
Th 0.1660 0.8340 0.5000
Th 0.5000 0.5000 0.5000
P 0.0818 0.4186 0.2455
P 0.7447 0.7447 0.2448
P 0.2553 0.2553 0.7552
P 0.9182 0.5814 0.7545
P 0.4186 0.0818 0.2455
P 0.5814 0.9182 0.7545
Sm 0.0000 0.0000 0.0000
Dy 0.6669 0.3331 0.0000
Dy 0.3331 0.6669 0.0000

Symmetry ... No. 12
E_form ... -1.583 eV/atom



No. 5
Density functional theory data (PBE) for a geometry-optimized Pr2ZnSb structure.

a b c (Å): 4.2807 6.2639 9.1457
angles (deg): 110.99 90.00 90.00
Sites, in units of the cell vectors:
Pr 0.2500 0.7832 0.5611
Pr 0.2500 0.7827 0.0786
Pr 0.7500 0.2173 0.9214
Pr 0.7500 0.2168 0.4389
Sb 0.2500 0.3424 0.2094
Sb 0.7500 0.6576 0.7906
Zn 0.2500 0.3407 0.7102
Zn 0.7500 0.6593 0.2898

Symmetry ... No. 11
Energy relative to the lowest polymorph listed for this composition ... 0.000 eV per atom



No. 6
Density functional theory data (PBE) for a geometry-optimized TlGa2Sb structure.

a b c (Å): 5.1915 5.1915 5.1915
angles (deg): 60.00 60.00 60.00
Sites, in units of the cell vectors:
Ga 0.7500 0.7500 0.7500
Ga 0.2500 0.2500 0.2500
Sb 0.0000 0.0000 0.0000
Tl 0.5000 0.5000 0.5000

Symmetry ... No. 225
Energy relative to the lowest polymorph listed for this composition ... 0.028 eV per atom



No. 7
Density functional theory data (PBE) for a geometry-optimized TbSm4S6 structure.

a b c (Å): 3.8970 6.8798 20.1944
angles (deg): 90.00 90.00 106.45
Sites, in units of the cell vectors:
S 0.7704 0.5407 0.4099
S 0.9467 0.8933 0.8307
S 0.6979 0.3957 0.7500
S 0.0533 0.1067 0.3307
S 0.3021 0.6043 0.2500
S 0.0533 0.1067 0.1693
S 0.2296 0.4593 0.9099
S 0.2296 0.4593 0.5901
S 0.7704 0.5407 0.0901
S 0.9467 0.8933 0.6693
S 0.5000 0.0000 0.5000
S 0.5000 0.0000 0.0000
Sm 0.4095 0.8189 0.1292
Sm 0.1395 0.2790 0.0404
Sm 0.4095 0.8189 0.3708
Sm 0.5905 0.1811 0.6292
Sm 0.5905 0.1811 0.8708
Sm 0.8605 0.7210 0.5404
Sm 0.1395 0.2790 0.4596
Sm 0.8605 0.7210 0.9596
Tb 0.6526 0.3052 0.2500
Tb 0.3474 0.6948 0.7500

Symmetry ... No. 63



No. 8
Density functional theory data (PBE) for a geometry-optimized TbPu2N structure.

a b c (Å): 3.9527 3.9527 6.6758
angles (deg): 72.78 72.78 60.00
Sites, in units of the cell vectors:
Pu 0.6895 0.6895 0.9314
Pu 0.3105 0.3105 0.0686
N 0.0000 0.0000 0.0000
Tb 0.5000 0.5000 0.5000

Symmetry ... No. 166



no.,mass density (kg/m3),raw total energy (eV for the cell shown)
1,8851,-30.32
2,5084,-23.58
3,6619,-11.77
4,7749,-87.64
5,6803,-35.61
6,7814,-12.19
7,6094,-141.25
8,12929,-41.44